# 1
This record from Alexandria via LeMat-Bulk describes Cd2ReAs after structural relaxation. The functional is PBE.

V: 78.94 Å³/f.u.
SG: No. 99
Calculated density: 10.22 g/cm3
Magnetic moment: 0.0000 μB per atom
Calculated formation energy: 248 meV per atom

Unit cell a=3.0488 b=3.0488 c=8.4924 alpha=90.00 beta=90.00 gamma=90.00
With the nearest neighbours (Å) after each atom.
Atoms (fractional coordinates):
Cd: 0.0000 0.0000 0.0034  8 Cd 3.05-3.22
Cd: 0.5000 0.5000 0.2853  4 Re 2.95, 8 Cd 3.05-3.22
Re: 0.0000 0.0000 0.5232  4 As 2.57
As: 0.5000 0.5000 0.6880  4 Re 2.57



# 2
This record from Alexandria via LeMat-Bulk describes Be2CdIn2Pd5 after structural relaxation. The functional is PBE.

V: 155.61 Å³/f.u.
SG: No. 127
Calculated density: 9.52 g/cm3
Magnetic moment: 0.0000 μB per atom
Calculated formation energy: -436 meV per atom

Unit cell a=3.4624 b=9.4809 c=9.4809 alpha=90.00 beta=90.00 gamma=90.00
With the nearest neighbours (Å) after each atom.
Atoms (fractional coordinates):
In: 0.0000 0.3259 0.8259  3 Be 2.72-2.86, 6 Pd 2.91-2.95
In: 0.0000 0.8259 0.6741  3 Be 2.72-2.86, 6 Pd 2.91-2.95
In: 0.0000 0.1741 0.3259  3 Be 2.72-2.86, 6 Pd 2.91-2.95
In: 0.0000 0.6741 0.1741  3 Be 2.72-2.86, 6 Pd 2.91-2.95
Cd: 0.0000 0.5000 0.5000  8 Pd 2.76
Cd: 0.0000 0.0000 0.0000  8 Pd 2.76
Be: 0.0000 0.1226 0.6226  6 Pd 2.36-2.39
Be: 0.0000 0.8774 0.3774  6 Pd 2.36-2.39
Be: 0.0000 0.3774 0.1226  6 Pd 2.36-2.39
Be: 0.0000 0.6226 0.8774  6 Pd 2.36-2.39
Pd: 0.5000 0.9232 0.2139  2 Be 2.36
Pd: 0.5000 0.7861 0.9232  2 Be 2.36
Pd: 0.5000 0.0000 0.5000  4 Be 2.39
Pd: 0.5000 0.0768 0.7861  2 Be 2.36
Pd: 0.5000 0.7139 0.4232  2 Be 2.36
Pd: 0.5000 0.5000 0.0000  4 Be 2.39
Pd: 0.5000 0.4232 0.2861  2 Be 2.36
Pd: 0.5000 0.5768 0.7139  2 Be 2.36
Pd: 0.5000 0.2139 0.0768  2 Be 2.36
Pd: 0.5000 0.2861 0.5768  2 Be 2.36



# 3
This record from Alexandria via LeMat-Bulk describes Dy6HgPt2 after structural relaxation. The functional is PBE.

V: 237.62 Å³/f.u.
SG: No. 71
Calculated density: 10.94 g/cm3
Magnetic moment: 0.0000 μB per atom
Calculated formation energy: -724 meV per atom

Unit cell a=8.5302 b=8.5302 c=8.5302 alpha=104.90 beta=110.38 gamma=113.23
With the nearest neighbours (Å) after each atom.
Atoms (fractional coordinates):
Dy: 0.8018 0.2376 0.0394  1 Pt 2.84, 1 Hg 3.13
Dy: 0.1982 0.2376 0.4357  1 Pt 2.84, 1 Hg 3.13
Dy: 0.4698 0.2886 0.1812  3 Pt 3.00-3.13, 1 Hg 3.23
Dy: 0.1075 0.2886 0.8188  3 Pt 3.00-3.13, 1 Hg 3.23
Dy: 0.6990 0.0301 0.3310  3 Pt 2.76-2.99
Dy: 0.1982 0.7624 0.9606  1 Pt 2.84, 1 Hg 3.13
Dy: 0.8925 0.7114 0.1812  3 Pt 3.00-3.13, 1 Hg 3.23
Dy: 0.8018 0.7624 0.5643  1 Pt 2.84, 1 Hg 3.13
Dy: 0.6990 0.3680 0.6690  3 Pt 2.76-2.99
Dy: 0.3010 0.6320 0.3310  3 Pt 2.76-2.99
Dy: 0.3010 0.9699 0.6690  3 Pt 2.76-2.99
Dy: 0.5302 0.7114 0.8188  3 Pt 3.00-3.13, 1 Hg 3.23
Hg: 0.0000 0.0000 0.0000  8 Dy 3.13-3.23, 2 Pt 3.32
Hg: 0.0000 0.5000 0.5000  12 Dy 3.33-3.68
Pt: 0.6588 0.0000 0.6588  8 Dy 2.84-3.13, 1 Pt 3.09
Pt: 0.5000 0.3647 0.8647  6 Dy 2.76-3.00, 1 Pt 2.81
Pt: 0.5000 0.6353 0.1353  6 Dy 2.76-3.00, 1 Pt 2.81
Pt: 0.3412 0.0000 0.3412  8 Dy 2.84-3.13, 1 Pt 3.09



# 4
This record from Alexandria via LeMat-Bulk describes LiEuSc2 after structural relaxation. The functional is PBE.

V: 106.21 Å³/f.u.
SG: No. 166
Calculated density: 3.89 g/cm3
Magnetic moment: 1.9992 μB per atom
Energy above the most stable polymorph in this dataset: 0.136 eV/atom
Calculated formation energy: 345 meV per atom

Unit cell a=3.2638 b=3.2638 c=11.6655 alpha=81.96 beta=81.96 gamma=60.00
With the nearest neighbours (Å) after each atom.
Atoms (fractional coordinates):
Sc: 0.9069 0.9069 0.2794  3 Li 3.16, 1 Eu 3.22, 6 Sc 3.26
Sc: 0.0931 0.0931 0.7206  3 Li 3.16, 1 Eu 3.22, 6 Sc 3.26
Li: 0.5000 0.5000 0.5000  6 Sc 3.16, 6 Li 3.26
Eu: 0.0000 0.0000 0.0000  2 Sc 3.22, 6 Eu 3.26



# 5
This record from Alexandria via LeMat-Bulk describes K3Sc5O12 after structural relaxation. The functional is PBE.

V: 334.84 Å³/f.u.
SG: No. 230
Raw formation energy: -2.171 eV per atom
Calculated density: 2.65 g/cm3
Magnetic moment: 0.3000 μB per atom

Unit cell a=12.0274 b=12.0274 c=12.0274 alpha=109.47 beta=109.47 gamma=109.47
With the nearest neighbours (Å) after each atom.
Atoms (fractional coordinates):
O: 0.1052 0.6797 0.4996  2 Sc 1.99-2.11
O: 0.3203 0.8948 0.0004  2 Sc 1.99-2.11
O: 0.6797 0.1052 0.9996  2 Sc 1.99-2.11
O: 0.9996 0.3943 0.8199  2 Sc 1.99-2.11
O: 0.3948 0.0004 0.8203  2 Sc 1.99-2.11
O: 0.5004 0.8203 0.8948  2 Sc 1.99-2.11
O: 0.3943 0.3948 0.5745  2 Sc 1.99-2.11
O: 0.6057 0.6052 0.4255  2 Sc 1.99-2.11
O: 0.1057 0.9255 0.1052  2 Sc 1.99-2.11
O: 0.5745 0.8948 0.3943  2 Sc 1.99-2.11
O: 0.6797 0.5745 0.1801  2 Sc 1.99-2.11
O: 0.6801 0.1797 0.5745  2 Sc 1.99-2.11
O: 0.5745 0.6797 0.6801  2 Sc 1.99-2.11
O: 0.8199 0.8943 0.9996  2 Sc 1.99-2.11
O: 0.4255 0.1052 0.6057  2 Sc 1.99-2.11
O: 0.5004 0.6801 0.1057  2 Sc 1.99-2.11
O: 0.6801 0.5004 0.6057  2 Sc 1.99-2.11
O: 0.3948 0.3943 0.0745  2 Sc 1.99-2.11
O: 0.4996 0.1797 0.1052  2 Sc 1.99-2.11
O: 0.3943 0.9996 0.3199  2 Sc 1.99-2.11
O: 0.1797 0.6801 0.0745  2 Sc 1.99-2.11
O: 0.3199 0.4996 0.3943  2 Sc 1.99-2.11
O: 0.0745 0.8943 0.3948  2 Sc 1.99-2.11
O: 0.8948 0.3203 0.5004  2 Sc 1.99-2.11
O: 0.8943 0.0745 0.8948  2 Sc 1.99-2.11
O: 0.6057 0.0004 0.6801  2 Sc 1.99-2.11
O: 0.0004 0.3948 0.3203  2 Sc 1.99-2.11
O: 0.4255 0.3203 0.3199  2 Sc 1.99-2.11
O: 0.1801 0.1057 0.0004  2 Sc 1.99-2.11
O: 0.3199 0.8203 0.4255  2 Sc 1.99-2.11
O: 0.8948 0.5745 0.8943  2 Sc 1.99-2.11
O: 0.1052 0.4255 0.1057  2 Sc 1.99-2.11
O: 0.4996 0.3199 0.8943  2 Sc 1.99-2.11
O: 0.0004 0.6057 0.1801  2 Sc 1.99-2.11
O: 0.8199 0.9255 0.3203  2 Sc 1.99-2.11
O: 0.8203 0.3199 0.9255  2 Sc 1.99-2.11
O: 0.8203 0.5004 0.3948  2 Sc 1.99-2.11
O: 0.1801 0.0745 0.6797  2 Sc 1.99-2.11
O: 0.1797 0.4996 0.6052  2 Sc 1.99-2.11
O: 0.0745 0.1801 0.1797  2 Sc 1.99-2.11
O: 0.9996 0.6052 0.6797  2 Sc 1.99-2.11
O: 0.1057 0.1801 0.5004  2 Sc 1.99-2.11
O: 0.8943 0.8199 0.4996  2 Sc 1.99-2.11
O: 0.3203 0.4255 0.8199  2 Sc 1.99-2.11
O: 0.6052 0.6057 0.9255  2 Sc 1.99-2.11
O: 0.9255 0.8199 0.8203  2 Sc 1.99-2.11
O: 0.6052 0.9996 0.1797  2 Sc 1.99-2.11
O: 0.9255 0.1057 0.6052  2 Sc 1.99-2.11
Sc: 0.3750 0.2500 0.1250  4 O 1.99
Sc: 0.1250 0.3750 0.2500  4 O 1.99
Sc: 0.0000 0.0000 0.5000  6 O 2.11
Sc: 0.0000 0.5000 0.0000  6 O 2.11
Sc: 0.7500 0.1250 0.8750  4 O 1.99
Sc: 0.0000 0.0000 0.0000  6 O 2.11
Sc: 0.1250 0.7500 0.3750  4 O 1.99
Sc: 0.0000 0.5000 0.5000  6 O 2.11
Sc: 0.5000 0.5000 0.5000  6 O 2.11
Sc: 0.6250 0.8750 0.2500  4 O 1.99
Sc: 0.2500 0.8750 0.1250  4 O 1.99
Sc: 0.5000 0.0000 0.5000  6 O 2.11
Sc: 0.6250 0.7500 0.8750  4 O 1.99
Sc: 0.5000 0.0000 0.0000  6 O 2.11
Sc: 0.7500 0.6250 0.3750  4 O 1.99
Sc: 0.3750 0.1250 0.7500  4 O 1.99
Sc: 0.8750 0.2500 0.6250  4 O 1.99
Sc: 0.2500 0.3750 0.6250  4 O 1.99
Sc: 0.5000 0.5000 0.0000  6 O 2.11
Sc: 0.8750 0.6250 0.7500  4 O 1.99
K: 0.1250 0.8750 0.7500  8 O 2.75-3.01
K: 0.8750 0.1250 0.2500  8 O 2.75-3.01
K: 0.8750 0.7500 0.1250  8 O 2.75-3.01
K: 0.6250 0.2500 0.3750  8 O 2.75-3.01
K: 0.2500 0.6250 0.8750  8 O 2.75-3.01
K: 0.3750 0.7500 0.6250  8 O 2.75-3.01
K: 0.1250 0.2500 0.8750  8 O 2.75-3.01
K: 0.7500 0.8750 0.6250  8 O 2.75-3.01
K: 0.3750 0.6250 0.2500  8 O 2.75-3.01
K: 0.6250 0.3750 0.7500  8 O 2.75-3.01
K: 0.7500 0.3750 0.1250  8 O 2.75-3.01
K: 0.2500 0.1250 0.3750  8 O 2.75-3.01



# 6
This record from Alexandria via LeMat-Bulk describes Cs6H after structural relaxation. The functional is PBE.

V: 600.13 Å³/f.u.
SG: No. 62
Energy: -1.22 eV per atom
Calculated density: 2.21 g/cm3
Magnetic moment: 0.0000 μB per atom

Unit cell a=9.0175 b=15.5988 c=17.0659 alpha=90.00 beta=90.00 gamma=90.00
With the nearest neighbours (Å) after each atom.
Atoms (fractional coordinates):
Cs: 0.6119 0.7500 0.2622  1 H 3.32
Cs: 0.2585 0.0965 0.5116  1 H 3.39
Cs: 0.9307 0.4024 0.7325  1 H 3.37
Cs: 0.1119 0.2500 0.2378  1 H 3.32
Cs: 0.0693 0.9024 0.2675  1 H 3.37
Cs: 0.8004 0.2500 0.4983  1 H 3.38
Cs: 0.6996 0.2500 0.9983  1 H 3.38
Cs: 0.2415 0.4035 0.0116  1 H 3.39
Cs: 0.2415 0.0965 0.0116  1 H 3.39
Cs: 0.3004 0.7500 0.0017  1 H 3.38
Cs: 0.2585 0.4035 0.5116  1 H 3.39
Cs: 0.5693 0.4024 0.2325  1 H 3.37
Cs: 0.8881 0.7500 0.7622  1 H 3.32
Cs: 0.7415 0.9035 0.4884  1 H 3.39
Cs: 0.5693 0.0976 0.2325  1 H 3.37
Cs: 0.4307 0.9024 0.7675  1 H 3.37
Cs: 0.0693 0.5976 0.2675  1 H 3.37
Cs: 0.4307 0.5976 0.7675  1 H 3.37
Cs: 0.9307 0.0976 0.7325  1 H 3.37
Cs: 0.7585 0.5965 0.9884  1 H 3.39
Cs: 0.1996 0.7500 0.5017  1 H 3.38
Cs: 0.7585 0.9035 0.9884  1 H 3.39
Cs: 0.3881 0.2500 0.7378  1 H 3.32
Cs: 0.7415 0.5965 0.4884  1 H 3.39
H: 0.9068 0.7500 0.3783  6 Cs 3.32-3.39
H: 0.0932 0.2500 0.6217  6 Cs 3.32-3.39
H: 0.4068 0.2500 0.1217  6 Cs 3.32-3.39
H: 0.5932 0.7500 0.8783  6 Cs 3.32-3.39



# 7
This record from Alexandria via LeMat-Bulk describes Na2ReIN after structural relaxation. The functional is PBE.

V: 146.18 Å³/f.u.
SG: No. 123
Raw formation energy: 1.856 eV per atom
Calculated density: 4.24 g/cm3
Magnetic moment: 0.7945 μB per atom

Unit cell a=5.9104 b=4.1848 c=5.9104 alpha=90.00 beta=90.00 gamma=90.00
With the nearest neighbours (Å) after each atom.
Atoms (fractional coordinates):
Na: 0.5000 0.0000 0.0000  2 I 2.96
Na: 0.0000 0.0000 0.5000  2 I 2.96
N: 0.0000 0.5000 0.0000  2 I 2.09
Re: 0.5000 0.5000 0.5000  8 Na 3.62
I: 0.0000 0.0000 0.0000  2 N 2.09



# 8
This record from Alexandria via LeMat-Bulk describes SiHgAs2 after structural relaxation. The functional is PBE.

V: 97.82 Å³/f.u.
SG: No. 12
Raw formation energy: 0.368 eV per atom
Calculated density: 6.43 g/cm3
Magnetic moment: 0.0000 μB per atom

Unit cell a=5.6346 b=5.6346 c=5.2252 alpha=85.04 beta=85.04 gamma=36.31
With the nearest neighbours (Å) after each atom.
Atoms (fractional coordinates):
As: 0.0855 0.0855 0.8362  2 Si 2.50, 2 As 2.75
As: 0.4145 0.4145 0.6638  2 Si 2.50, 2 As 2.75
Si: 0.7500 0.7500 0.7500  4 As 2.50
Hg: 0.2500 0.2500 0.2500  2 As 2.91, 4 Si 3.15



# 9
This record from Alexandria via LeMat-Bulk describes BeSeSN2 after structural relaxation. The functional is PBE.

V: 88.02 Å³/f.u.
SG: No. 123
Raw formation energy: 1.174 eV per atom
Calculated density: 2.79 g/cm3
Magnetic moment: 0.2551 μB per atom
Energy above the most stable polymorph in this dataset: 0.000 eV/atom

Unit cell a=3.3983 b=3.3983 c=7.6219 alpha=90.00 beta=90.00 gamma=90.00
With the nearest neighbours (Å) after each atom.
Atoms (fractional coordinates):
N: 0.0000 0.5000 0.0000  2 Be 1.70
N: 0.5000 0.0000 0.0000  2 Be 1.70
S: 0.5000 0.5000 0.5000  4 Se 2.40
Be: 0.0000 0.0000 0.0000  4 N 1.70
Se: 0.0000 0.0000 0.5000  4 S 2.40



# 10
This record from Alexandria via LeMat-Bulk describes CeNdTlIn after structural relaxation. The functional is PBE.

V: 117.79 Å³/f.u.
SG: No. 216
Calculated density: 8.51 g/cm3
Magnetic moment: 0.2540 μB per atom
Calculated formation energy: -343 meV per atom

Unit cell a=5.5023 b=5.5023 c=5.5023 alpha=60.00 beta=60.00 gamma=60.00
With the nearest neighbours (Å) after each atom.
Atoms (fractional coordinates):
Ce: 0.7500 0.7500 0.7500  4 Tl 3.37, 4 In 3.37
Nd: 0.2500 0.2500 0.2500  4 Tl 3.37, 4 In 3.37
In: 0.5000 0.5000 0.5000  4 Nd 3.37, 4 Ce 3.37
Tl: 0.0000 0.0000 0.0000  4 Ce 3.37, 4 Nd 3.37